Record 1
Here is a geometry-optimized BaLi2La structure from Alexandria. Energies are from PBE-GGA.

Computed properties:
D(E_F)	5.40	states/eV per cell
total moment	0.003	μB/cell
formation energy from the elements	0.7	eV/f.u.
V	33.63	Å³ per atom

a b c (Å): 6.9844 6.9844 6.9844
angles (deg): 148.15 131.00 59.64
With the nearest neighbours (Å) after each atom.
Element x y z (fractional)
Ba1 0.5252 0.5252 0.0000  6 Li 3.55-3.71, 2 La 3.75, 2 Ba 3.83
La1 0.2221 0.7221 0.5000  6 Li 3.56-3.65, 2 Ba 3.75, 2 La 3.83
Li1 0.9657 0.9657 0.0000  2 Li 2.89
Li2 0.7870 0.2870 0.5000  2 Li 2.89

Record 2
Here is a geometry-optimized Li2Ac2Ag structure from Alexandria. Energies are from PBE-GGA.

Computed properties:
D(E_F)	3.83	states/eV per cell
total moment	0.000	μB/cell
formation energy from the elements	-0.2	eV/f.u.
V	28.44	Å³ per atom

a b c (Å): 5.3980 5.0397 6.3995
angles (deg): 66.81 65.05 90.00
With the nearest neighbours (Å) after each atom.
Element x y z (fractional)
Li1 0.2388 0.5000 0.0000  2 Li 2.58-2.82, 2 Ag 2.83
Ag1 0.0000 0.0000 0.0000  4 Li 2.83
Ac1 0.3121 0.8121 0.3758  2 Ag 3.34, 6 Li 3.49-3.51
Li2 0.7612 0.5000 0.0000  2 Li 2.58-2.82, 2 Ag 2.83
Ac2 0.6879 0.1879 0.6242  2 Ag 3.34, 6 Li 3.49-3.51

Record 3
Here is a geometry-optimized CsMnGa2Ge structure from Alexandria. Energies are from PBE-GGA.

Computed properties:
D(E_F)	0.71	states/eV per cell
total moment	0.000	μB/cell
formation energy from the elements	0.0	eV/f.u.
V	22.59	Å³ per atom

a b c (Å): 4.9022 4.9022 4.7002
angles (deg): 90.00 90.00 90.00
With the nearest neighbours (Å) after each atom.
Element x y z (fractional)
Ge1 0.0000 0.0000 0.5000  2 Mn 2.35
Mn1 0.0000 0.0000 0.0000  2 Ge 2.35, 4 Ga 2.45
Ga1 0.5000 0.0000 0.0000  2 Mn 2.45
Ga2 0.0000 0.5000 0.0000  2 Mn 2.45
Cs1 0.5000 0.5000 0.5000  8 Ga 3.40, 4 Ge 3.47

Record 4
Here is a geometry-optimized Sm3Er2Se8 structure from Alexandria. Energies are from PBE-GGA.

Computed properties:
D(E_F)	7.36	states/eV per cell
total moment	0.000	μB/cell
V	30.58	Å³ per atom
ΔE_f (raw)	-2098	kJ/mol of formula units

a b c (Å): 7.0720 8.3032 8.3099
angles (deg): 119.97 107.12 90.00
With the nearest neighbours (Å) after each atom.
Element x y z (fractional)
Er1 0.3397 0.2573 0.5146  6 Se 2.81-2.91
Sm1 0.0000 0.7376 0.0000  6 Se 2.88-2.94
Se1 0.1070 0.3809 0.7618  1 Er 2.81, 2 Sm 2.88
Er2 0.6603 0.7427 0.4854  6 Se 2.81-2.91
Se2 0.9304 0.1221 0.2442  1 Er 2.89, 3 Sm 2.94-2.95
Sm2 0.5000 0.0000 0.0000  6 Se 2.89-2.95
Se3 0.5829 0.6337 0.7457  2 Sm 2.89-2.90, 2 Er 2.91
Se4 0.8930 0.6191 0.2382  1 Er 2.81, 2 Sm 2.88
Sm3 0.0000 0.2624 0.0000  6 Se 2.88-2.94
Se5 0.0696 0.8779 0.7558  1 Er 2.89, 3 Sm 2.94-2.95
Se6 0.5829 0.1121 0.7457  2 Sm 2.89-2.90, 2 Er 2.91
Se7 0.4171 0.8879 0.2543  2 Sm 2.89-2.90, 2 Er 2.91
Se8 0.4171 0.3663 0.2543  2 Sm 2.89-2.90, 2 Er 2.91

Record 5
Here is a geometry-optimized BaTl2Cu structure from Alexandria. Energies are from PBE-GGA.

Computed properties:
D(E_F)	2.18	states/eV per cell
total moment	0.000	μB/cell
formation energy from the elements	-0.5	eV/f.u.
V	30.76	Å³ per atom

a b c (Å): 4.6821 4.6821 7.0286
angles (deg): 70.58 70.58 59.83
With the nearest neighbours (Å) after each atom.
Element x y z (fractional)
Tl1 0.9641 0.9641 0.1068  3 Cu 2.85-2.86
Tl2 0.5359 0.5359 0.3932  3 Cu 2.85-2.86
Cu1 0.2500 0.2500 0.2500  6 Tl 2.85-2.86
Ba1 0.7500 0.7500 0.7500  6 Tl 3.56

Record 6
Here is a geometry-optimized Nd6In2Sn structure from Alexandria. Energies are from PBE-GGA.

Computed properties:
D(E_F)	8.76	states/eV per cell
total moment	0.000	μB/cell
formation energy from the elements	-3.6	eV/f.u.
V	31.56	Å³ per atom

a b c (Å): 3.9729 9.0862 9.0862
angles (deg): 120.00 90.00 90.00
With the nearest neighbours (Å) after each atom.
Element x y z (fractional)
Sn1 0.5000 0.0000 0.0000  9 Nd 3.23-3.50
In1 0.0000 0.6667 0.3333  9 Nd 3.30-3.45
Nd1 0.5000 0.6143 0.6143  4 In 3.45, 1 Sn 3.50, 6 Nd 3.63-3.71
Nd2 0.0000 0.0000 0.7198  2 Sn 3.23, 2 In 3.30
In2 0.0000 0.3333 0.6667  9 Nd 3.30-3.45
Nd3 0.5000 0.0000 0.3857  4 In 3.45, 1 Sn 3.50, 6 Nd 3.63-3.71
Nd4 0.5000 0.3857 0.0000  4 In 3.45, 1 Sn 3.50, 6 Nd 3.63-3.71
Nd5 0.0000 0.2802 0.2802  2 Sn 3.23, 2 In 3.30
Nd6 0.0000 0.7198 0.0000  2 Sn 3.23, 2 In 3.30

Record 7
Here is a geometry-optimized YZrZn structure from Alexandria. Energies are from PBE-GGA.

Computed properties:
D(E_F)	5.26	states/eV per cell
total moment	0.000	μB/cell
formation energy from the elements	-0.6	eV/f.u.
V	22.89	Å³ per atom

a b c (Å): 3.3861 5.0434 8.2184
angles (deg): 90.00 101.89 90.00
With the nearest neighbours (Å) after each atom.
Element x y z (fractional)
Zn1 0.5706 0.7500 0.1411  2 Zr 3.00, 6 Y 3.04-3.05
Zr1 0.2246 0.7500 0.4492  2 Zn 3.00, 4 Zr 3.15
Zr2 0.7754 0.2500 0.5508  2 Zn 3.00, 4 Zr 3.15
Y1 0.9138 0.7500 0.8276  6 Zn 3.04-3.05, 2 Zr 3.36, 2 Y 3.39
Zn2 0.4294 0.2500 0.8589  2 Zr 3.00, 6 Y 3.04-3.05
Y2 0.0862 0.2500 0.1724  6 Zn 3.04-3.05, 2 Zr 3.36, 2 Y 3.39

Record 8
Here is a geometry-optimized Pr3SmY3S8 structure from Alexandria. Energies are from PBE-GGA.

Computed properties:
D(E_F)	7.05	states/eV per cell
total moment	0.000	μB/cell
V	24.22	Å³ per atom
ΔE_f (raw)	-2959	kJ/mol of formula units

a b c (Å): 7.9674 7.9675 8.0519
angles (deg): 119.65 90.00 120.00
With the nearest neighbours (Å) after each atom.
Element x y z (fractional)
Y1 0.5000 0.0000 0.5000  6 S 2.77
S1 0.7499 0.4998 0.2611  2 Y 2.77, 1 Sm 2.83, 2 Pr 2.90
S2 0.2501 0.9888 0.7389  2 Y 2.77, 1 Sm 2.83, 2 Pr 2.90
Pr1 0.5000 0.5000 0.0000  6 S 2.90
Pr2 0.0000 0.5000 0.0000  6 S 2.90
S3 0.2613 0.0112 0.2611  2 Y 2.77, 1 Sm 2.83, 2 Pr 2.90
S4 0.7445 0.4889 0.7334  3 Y 2.77, 3 Pr 2.90
S5 0.2555 0.5111 0.2666  3 Y 2.77, 3 Pr 2.90
Y2 0.0000 0.5000 0.5000  6 S 2.77
Y3 0.5000 0.5000 0.5000  6 S 2.77
Sm1 0.0000 0.0000 0.5000  6 S 2.83
Pr3 0.0000 0.0000 0.0000  6 S 2.90
S6 0.7499 0.0112 0.2611  2 Y 2.77, 1 Sm 2.83, 2 Pr 2.90
S7 0.7387 0.9888 0.7389  2 Y 2.77, 1 Sm 2.83, 2 Pr 2.90
S8 0.2501 0.5002 0.7389  2 Y 2.77, 1 Sm 2.83, 2 Pr 2.90

Record 9
Here is a geometry-optimized Pm2RhS structure from Alexandria. Energies are from PBE-GGA.

Computed properties:
D(E_F)	2.58	states/eV per cell
total moment	0.000	μB/cell
V	24.31	Å³ per atom
ΔE_f (raw)	-456	kJ/mol of formula units

a b c (Å): 3.9023 3.9023 7.7090
angles (deg): 75.34 75.34 60.00
With the nearest neighbours (Å) after each atom.
Element x y z (fractional)
Pm1 0.2503 0.2503 0.2492  3 S 2.91, 3 Rh 2.92
Pm2 0.0829 0.0829 0.7514  3 S 2.90, 3 Rh 2.92
Rh1 0.4999 0.4999 0.5004  6 Pm 2.92
S1 0.6670 0.6670 0.9990  6 Pm 2.90-2.91

Record 10
Here is a geometry-optimized K2YHf2Te6 structure from Alexandria. Energies are from PBE-GGA.

Computed properties:
D(E_F)	4.96	states/eV per cell
total moment	0.000	μB/cell
V	35.54	Å³ per atom
ΔE_f (raw)	-1128	kJ/mol of formula units

a b c (Å): 7.2796 7.2796 8.8506
angles (deg): 97.52 97.52 120.26
With the nearest neighbours (Å) after each atom.
Element x y z (fractional)
Y1 0.0000 0.0000 0.5000  6 Te 3.07-3.09
Hf1 0.6678 0.3322 0.5000  6 Te 2.92-2.93
Te1 0.7115 0.7115 0.7018  2 Hf 2.93, 1 Y 3.09
Te2 0.4135 0.0664 0.7024  2 Hf 2.92-2.93, 1 Y 3.07
Hf2 0.3322 0.6678 0.5000  6 Te 2.92-2.93
Te3 0.2885 0.2885 0.2982  2 Hf 2.93, 1 Y 3.09
K1 0.8392 0.1608 0.0000  6 Te 3.50-3.54
K2 0.1608 0.8392 0.0000  6 Te 3.50-3.54
Te4 0.0664 0.4135 0.7024  2 Hf 2.92-2.93, 1 Y 3.07
Te5 0.9336 0.5865 0.2976  2 Hf 2.92-2.93, 1 Y 3.07
Te6 0.5865 0.9336 0.2976  2 Hf 2.92-2.93, 1 Y 3.07

Record 11
Here is a geometry-optimized Tl2OsC2 structure from Alexandria. Energies are from PBE-GGA.

Computed properties:
D(E_F)	6.22	states/eV per cell
total moment	0.223	μB/cell
formation energy from the elements	13.4	eV/f.u.
V	16.31	Å³ per atom

a b c (Å): 7.1547 7.1547 3.1863
angles (deg): 90.00 90.00 90.00
With the nearest neighbours (Å) after each atom.
Element x y z (fractional)
Tl1 0.8500 0.6500 0.0000  6 C 2.51-2.72, 2 Os 2.72
Os1 0.0000 0.0000 0.0000  4 Tl 2.72
C1 0.8422 0.3422 0.5000  6 Tl 2.51-2.72
Tl2 0.6500 0.1500 0.0000  6 C 2.51-2.72, 2 Os 2.72
C2 0.3422 0.1578 0.5000  6 Tl 2.51-2.72
Tl3 0.3500 0.8500 0.0000  6 C 2.51-2.72, 2 Os 2.72
Tl4 0.1500 0.3500 0.0000  6 C 2.51-2.72, 2 Os 2.72
C3 0.1578 0.6578 0.5000  6 Tl 2.51-2.72
Os2 0.5000 0.5000 0.0000  4 Tl 2.72
C4 0.6578 0.8422 0.5000  6 Tl 2.51-2.72

Record 12
Here is a geometry-optimized Mn2PdRh structure from Alexandria. Energies are from PBE-GGA.

Computed properties:
D(E_F)	1.93	states/eV per cell
total moment	8.914	μB/cell
formation energy from the elements	-0.7	eV/f.u.
V	14.67	Å³ per atom

a b c (Å): 3.1108 4.3428 4.3428
angles (deg): 90.00 90.00 90.00
With the nearest neighbours (Å) after each atom.
Element x y z (fractional)
Rh1 0.5000 0.0000 0.0000  8 Mn 2.67
Mn1 0.0000 0.0000 0.5000  4 Pd 2.67, 4 Rh 2.67
Mn2 0.0000 0.5000 0.0000  4 Rh 2.67, 4 Pd 2.67
Pd1 0.5000 0.5000 0.5000  8 Mn 2.67